Record 1
# FeW2S GGA-PBE optimized geometry
# - E_tot: -139.98 eV for the cell shown
# - Energy relative to the elements, uncorrected: 875 meV/atom
# - DOS(E_F): 15.99 states/eV/cell
# - Spin magnetization: 0.00 μB/cell
# - Crystal system: tetragonal
data_FeW2S
_space_group_name_H-M_alt 'P 1'
_space_group_IT_number 1
_cell_length_a 5.3803
_cell_length_b 5.3803
_cell_length_c 10.4964
_cell_angle_alpha 90.00
_cell_angle_beta 90.00
_cell_angle_gamma 90.00
loop_
_space_group_symop_operation_xyz
'x,y,z'
loop_
_atom_site_label
_atom_site_type_symbol
_atom_site_fract_x
_atom_site_fract_y
_atom_site_fract_z
_atom_site_occupancy
Fe1 Fe 0.0000 0.0000 0.0000 1
Fe2 Fe 0.0000 0.5000 0.2500 1
Fe3 Fe 0.5000 0.0000 0.7500 1
Fe4 Fe 0.5000 0.5000 0.5000 1
W1 W 0.2378 0.2500 0.1250 1
W2 W 0.2500 0.7378 0.3750 1
W3 W 0.2500 0.7622 0.8750 1
W4 W 0.2622 0.2500 0.6250 1
W5 W 0.7378 0.7500 0.6250 1
W6 W 0.7500 0.2378 0.8750 1
W7 W 0.7500 0.2622 0.3750 1
W8 W 0.7622 0.7500 0.1250 1
S1 S 0.0000 0.0000 0.5000 1
S2 S 0.0000 0.5000 0.7500 1
S3 S 0.5000 0.0000 0.2500 1
S4 S 0.5000 0.5000 0.0000 1

=====

Record 2
# MnAg2Os GGA-PBE optimized geometry
# - Offset from the most stable computed form: 1.37 eV per formula unit
# - E_tot: -23.42 eV for the cell shown
# - DOS(E_F): 4.60 states/eV/cell
# - Spin magnetization: 4.60 μB/cell
# - Crystal system: tetragonal
data_MnAg2Os
_space_group_name_H-M_alt 'P 1'
_space_group_IT_number 1
_cell_length_a 2.7280
_cell_length_b 2.7280
_cell_length_c 8.6354
_cell_angle_alpha 90.00
_cell_angle_beta 90.00
_cell_angle_gamma 90.00
loop_
_space_group_symop_operation_xyz
'x,y,z'
loop_
_atom_site_label
_atom_site_type_symbol
_atom_site_fract_x
_atom_site_fract_y
_atom_site_fract_z
_atom_site_occupancy
Mn1 Mn 0.0000 0.0000 0.0000 1
Ag1 Ag 0.5000 0.5000 0.2438 1
Ag2 Ag 0.5000 0.5000 0.7562 1
Os1 Os 0.0000 0.0000 0.5000 1

=====

Record 3
# Tb8Pr3Pu GGA-PBE optimized geometry
# - E_tot: -59.16 eV for the cell shown
# - DOS(E_F): 16.68 states/eV/cell
# - Spin magnetization: 4.07 μB/cell
# - Crystal system: tetragonal
data_Tb8Pr3Pu
_space_group_name_H-M_alt 'P 1'
_space_group_IT_number 1
_cell_length_a 8.4109
_cell_length_b 8.4109
_cell_length_c 8.4109
_cell_angle_alpha 117.36
_cell_angle_beta 117.36
_cell_angle_gamma 94.63
loop_
_space_group_symop_operation_xyz
'x,y,z'
loop_
_atom_site_label
_atom_site_type_symbol
_atom_site_fract_x
_atom_site_fract_y
_atom_site_fract_z
_atom_site_occupancy
Tb1 Tb 0.1424 0.1424 0.7497 1
Tb2 Tb 0.2384 0.6978 0.0000 1
Tb3 Tb 0.3022 0.3022 0.5406 1
Tb4 Tb 0.3927 0.3927 0.2503 1
Tb5 Tb 0.6073 0.8576 0.0000 1
Tb6 Tb 0.6978 0.2384 0.0000 1
Tb7 Tb 0.7616 0.7616 0.4594 1
Tb8 Tb 0.8576 0.6073 0.0000 1
Pr1 Pr 0.0000 0.0000 0.0000 1
Pr2 Pr 0.2500 0.7500 0.5000 1
Pr3 Pr 0.7500 0.2500 0.5000 1
Pu1 Pu 0.5000 0.5000 0.0000 1

=====

Record 4
# CrCoBr GGA-PBE optimized geometry
# - Offset from the most stable computed form: 0.31 eV per formula unit
# - E_tot: -65.90 eV for the cell shown
# - Energy relative to the elements, uncorrected: 642 meV/atom
# - DOS(E_F): 11.93 states/eV/cell
# - Spin magnetization: 8.18 μB/cell
# - Crystal system: orthorhombic
data_CrCoBr
_space_group_name_H-M_alt 'P 1'
_space_group_IT_number 1
_cell_length_a 4.3020
_cell_length_b 4.3626
_cell_length_c 10.4414
_cell_angle_alpha 90.00
_cell_angle_beta 90.00
_cell_angle_gamma 90.00
loop_
_space_group_symop_operation_xyz
'x,y,z'
loop_
_atom_site_label
_atom_site_type_symbol
_atom_site_fract_x
_atom_site_fract_y
_atom_site_fract_z
_atom_site_occupancy
Cr1 Cr 0.0000 0.0000 0.0000 1
Cr2 Cr 0.0000 0.5000 0.5000 1
Cr3 Cr 0.5000 0.0000 0.5000 1
Cr4 Cr 0.5000 0.5000 0.0000 1
Co1 Co 0.0000 0.0000 0.3704 1
Co2 Co 0.0000 0.5000 0.8704 1
Co3 Co 0.5000 0.0000 0.8704 1
Co4 Co 0.5000 0.5000 0.3704 1
Br1 Br 0.0000 0.0000 0.6830 1
Br2 Br 0.0000 0.5000 0.1830 1
Br3 Br 0.5000 0.0000 0.1830 1
Br4 Br 0.5000 0.5000 0.6830 1

=====

Record 5
# CeTm6Th GGA-PBE optimized geometry
# - E_tot: -38.34 eV for the cell shown
# - DOS(E_F): 16.31 states/eV/cell
# - Spin magnetization: 1.12 μB/cell
# - Crystal system: triclinic
data_CeTm6Th
_space_group_name_H-M_alt 'P 1'
_space_group_IT_number 1
_cell_length_a 6.4511
_cell_length_b 6.4802
_cell_length_c 7.4012
_cell_angle_alpha 115.79
_cell_angle_beta 115.71
_cell_angle_gamma 90.08
loop_
_space_group_symop_operation_xyz
'x,y,z'
loop_
_atom_site_label
_atom_site_type_symbol
_atom_site_fract_x
_atom_site_fract_y
_atom_site_fract_z
_atom_site_occupancy
Ce1 Ce 0.0000 0.0000 0.0000 1
Tm1 Tm 0.2335 0.9256 0.4672 1
Tm2 Tm 0.2504 0.4997 0.0003 1
Tm3 Tm 0.2620 0.4544 0.5244 1
Tm4 Tm 0.7380 0.5456 0.4756 1
Tm5 Tm 0.7496 0.5003 0.9997 1
Tm6 Tm 0.7665 0.0744 0.5328 1
Th1 Th 0.5000 0.0000 0.0000 1

=====

Record 6
# Tc3Hg GGA-PBE optimized geometry
# - Offset from the most stable computed form: 1.68 eV per formula unit
# - E_tot: -85.61 eV for the cell shown
# - DOS(E_F): 19.05 states/eV/cell
# - Spin magnetization: 3.07 μB/cell
# - Crystal system: trigonal
data_Tc3Hg
_space_group_name_H-M_alt 'P 1'
_space_group_IT_number 1
_cell_length_a 9.0603
_cell_length_b 9.0603
_cell_length_c 2.7212
_cell_angle_alpha 90.00
_cell_angle_beta 90.00
_cell_angle_gamma 120.00
loop_
_space_group_symop_operation_xyz
'x,y,z'
loop_
_atom_site_label
_atom_site_type_symbol
_atom_site_fract_x
_atom_site_fract_y
_atom_site_fract_z
_atom_site_occupancy
Tc1 Tc 0.0000 0.5000 0.0000 1
Tc2 Tc 0.1667 0.3333 0.3333 1
Tc3 Tc 0.1667 0.8333 0.3333 1
Tc4 Tc 0.3333 0.1667 0.6667 1
Tc5 Tc 0.5000 0.0000 0.0000 1
Tc6 Tc 0.5000 0.5000 0.0000 1
Tc7 Tc 0.6667 0.8333 0.3333 1
Tc8 Tc 0.8333 0.1667 0.6667 1
Tc9 Tc 0.8333 0.6667 0.6667 1
Hg1 Hg 0.0000 0.0000 0.0000 1
Hg2 Hg 0.3333 0.6667 0.6667 1
Hg3 Hg 0.6667 0.3333 0.3333 1